Computed, not measured: a geometry-optimized Sr2NdSe3 structure at the PBE level of DFT.

a = 4.3303 Å, b = 4.3303 Å, c = 10.7903 Å
α = 90.00°, β = 90.00°, γ = 120.00°
Last column: nearest neighbours and their distance in Å.
Fractional positions:
Nd 0.0000 0.0000 0.5000  6 Se 3.03
Se 0.0000 0.0000 0.0000  6 Sr 3.10
Se 0.6667 0.3333 0.3414  3 Nd 3.03, 3 Sr 3.11
Se 0.3333 0.6667 0.6586  3 Nd 3.03, 3 Sr 3.11
Sr 0.3333 0.6667 0.1699  6 Se 3.10-3.11
Sr 0.6667 0.3333 0.8301  6 Se 3.10-3.11

Computed properties:
For the calculated volume, the calculation gives 175.22 Å³/cell. As for the total energy: -5.0660 eV per atom. The value obtained for the total magnetization is 0.0 μB/f.u.

=====

Computed, not measured: a geometry-optimized SrNdSe2 structure at the PBE level of DFT.

a = 4.3129 Å, b = 4.3129 Å, c = 6.0993 Å
α = 90.00°, β = 90.00°, γ = 90.00°
Last column: nearest neighbours and their distance in Å.
Fractional positions:
Nd 0.0000 0.0000 0.0000  6 Se 3.05
Se 0.5000 0.5000 0.0000  4 Nd 3.05, 2 Sr 3.05
Se 0.0000 0.0000 0.5000  4 Sr 3.05, 2 Nd 3.05
Sr 0.5000 0.5000 0.5000  6 Se 3.05

Computed properties:
For the calculated volume, the calculation gives 113.45 Å³/cell. As for the total energy: -5.2665 eV per atom. The value obtained for the total magnetization is 0.0 μB/f.u.

=====

Computed, not measured: a geometry-optimized SrNd2Se3 structure at the PBE level of DFT.

a = 4.2934 Å, b = 4.2934 Å, c = 10.5177 Å
α = 90.00°, β = 90.00°, γ = 120.00°
Last column: nearest neighbours and their distance in Å.
Fractional positions:
Nd 0.6667 0.3333 0.3475  6 Se 2.95-3.07
Nd 0.3333 0.6667 0.6525  6 Se 2.95-3.07
Se 0.3333 0.6667 0.1753  3 Nd 3.07, 3 Sr 3.09
Se 0.0000 0.0000 0.5000  6 Nd 2.95
Se 0.6667 0.3333 0.8247  3 Nd 3.07, 3 Sr 3.09
Sr 0.0000 0.0000 0.0000  6 Se 3.09

Computed properties:
For the calculated volume, the calculation gives 167.90 Å³/cell. As for the total energy: -5.5212 eV per atom. The value obtained for the total magnetization is 0.0 μB/f.u.

=====

Computed, not measured: a geometry-optimized SrNdZnSe3 structure at the PBE level of DFT.

a = 7.3054 Å, b = 7.3054 Å, c = 11.1424 Å
α = 90.00°, β = 90.00°, γ = 147.03°
Last column: nearest neighbours and their distance in Å.
Fractional positions:
Nd 0.0000 0.0000 0.0000  6 Se 2.99-3.04
Nd 0.0000 0.0000 0.5000  6 Se 2.99-3.04
Se 0.3543 0.6457 0.0783  1 Zn 2.51
Se 0.0767 0.9233 0.2500  2 Zn 2.56
Se 0.3543 0.6457 0.4217  1 Zn 2.51
Se 0.6457 0.3543 0.5783  1 Zn 2.51
Se 0.9233 0.0767 0.7500  2 Zn 2.56
Se 0.6457 0.3543 0.9217  1 Zn 2.51
Sr 0.7540 0.2460 0.2500  6 Se 3.15-3.24
Sr 0.2460 0.7540 0.7500  6 Se 3.15-3.24
Zn 0.4700 0.5300 0.2500  4 Se 2.51-2.56
Zn 0.5300 0.4700 0.7500  4 Se 2.51-2.56

Computed properties:
For the calculated volume, the calculation gives 323.64 Å³/cell. As for the total energy: -4.4303 eV per atom. The value obtained for the total magnetization is 0.0 μB/f.u.

=====

Computed, not measured: a geometry-optimized Tb3NdSe6 structure at the PBE level of DFT.

a = 11.6262 Å, b = 4.1476 Å, c = 11.9300 Å
α = 90.00°, β = 109.03°, γ = 90.00°
Last column: nearest neighbours and their distance in Å.
Fractional positions:
Nd 0.5464 0.2500 0.1943  8 Se 3.02-3.17
Nd 0.4536 0.7500 0.8057  8 Se 3.02-3.17
Se 0.3843 0.7500 0.0349  3 Nd 3.02-3.09, 2 Tb 3.07
Se 0.9806 0.2500 0.1143  4 Tb 2.82-3.05
Se 0.7590 0.7500 0.2255  3 Tb 2.91-3.00, 2 Nd 3.15
Se 0.3049 0.2500 0.2498  3 Tb 2.80-2.85, 1 Nd 3.09
Se 0.5837 0.7500 0.4039  3 Tb 2.87-2.92, 2 Nd 3.17
Se 0.1054 0.7500 0.4397  4 Tb 2.85-2.91
Se 0.8946 0.2500 0.5603  4 Tb 2.85-2.91
Se 0.4163 0.2500 0.5961  3 Tb 2.87-2.92, 2 Nd 3.17
Se 0.6951 0.7500 0.7502  3 Tb 2.80-2.85, 1 Nd 3.09
Se 0.2410 0.2500 0.7745  3 Tb 2.91-3.00, 2 Nd 3.15
Se 0.0194 0.7500 0.8857  4 Tb 2.82-3.05
Se 0.6157 0.2500 0.9651  3 Nd 3.02-3.09, 2 Tb 3.07
Tb 0.1812 0.2500 0.0010  7 Se 2.84-3.07
Tb 0.9367 0.2500 0.3329  6 Se 2.82-2.91
Tb 0.3408 0.7500 0.4150  6 Se 2.80-2.92
Tb 0.6592 0.2500 0.5850  6 Se 2.80-2.92
Tb 0.0633 0.7500 0.6671  6 Se 2.82-2.91
Tb 0.8188 0.7500 0.9990  7 Se 2.84-3.07

Computed properties:
For the calculated volume, the calculation gives 543.85 Å³/cell. As for the total energy: -5.8483 eV per atom. The value obtained for the total magnetization is 0.0 μB/f.u.

=====

Computed, not measured: a geometry-optimized TbNd5Se6 structure at the PBE level of DFT.

a = 7.2898 Å, b = 7.2898 Å, c = 7.2651 Å
α = 99.63°, β = 99.63°, γ = 120.10°
Last column: nearest neighbours and their distance in Å.
Fractional positions:
Nd 0.6675 0.3325 0.0000  6 Se 2.97-3.00
Nd 0.3325 0.6675 0.0000  6 Se 2.97-3.00
Nd 0.8284 0.1716 0.5000  6 Se 2.97-3.00
Nd 0.5000 0.5000 0.5000  6 Se 2.97-3.02
Nd 0.1716 0.8284 0.5000  6 Se 2.97-3.00
Se 0.4068 0.0817 0.2445  1 Tb 2.90, 5 Nd 2.97-3.00
Se 0.0817 0.4068 0.2445  1 Tb 2.90, 5 Nd 2.97-3.00
Se 0.7571 0.7571 0.2484  1 Tb 2.92, 5 Nd 3.00-3.02
Se 0.2429 0.2429 0.7516  1 Tb 2.92, 5 Nd 3.00-3.02
Se 0.9183 0.5932 0.7555  1 Tb 2.90, 5 Nd 2.97-3.00
Se 0.5932 0.9183 0.7555  1 Tb 2.90, 5 Nd 2.97-3.00
Tb 0.0000 0.0000 0.0000  6 Se 2.90-2.92

Computed properties:
For the calculated volume, the calculation gives 314.70 Å³/cell. As for the total energy: -5.9411 eV per atom. The value obtained for the total magnetization is 0.0 μB/f.u.

=====

Computed, not measured: a geometry-optimized Nd3TcSe structure at the PBE level of DFT.

a = 5.4374 Å, b = 5.4374 Å, c = 5.4374 Å
α = 90.00°, β = 90.00°, γ = 90.00°
Last column: nearest neighbours and their distance in Å.
Fractional positions:
Nd 0.5000 0.5000 0.0000  2 Se 2.72
Nd 0.5000 0.0000 0.5000  2 Se 2.72
Nd 0.0000 0.5000 0.5000  2 Se 2.72
Se 0.5000 0.5000 0.5000  6 Nd 2.72
Tc 0.0000 0.0000 0.0000  12 Nd 3.84

Computed properties:
For the calculated volume, the calculation gives 160.76 Å³/cell. As for the total energy: -5.4387 eV per atom. The value obtained for the total magnetization is 2.0 μB/f.u.

=====

Computed, not measured: a geometry-optimized NdTeSe2 structure at the PBE level of DFT.

a = 13.0788 Å, b = 13.0788 Å, c = 4.1530 Å
α = 90.00°, β = 90.00°, γ = 161.97°
Last column: nearest neighbours and their distance in Å.
Fractional positions:
Nd 0.3251 0.6749 0.2500  7 Se 3.02-3.21, 2 Te 3.36
Nd 0.6749 0.3251 0.7500  7 Se 3.02-3.21, 2 Te 3.36
Se 0.9208 0.0792 0.2500  4 Te 2.92, 2 Nd 3.21
Se 0.2057 0.7943 0.2500  5 Nd 3.02-3.08
Se 0.7943 0.2057 0.7500  5 Nd 3.02-3.08
Se 0.0792 0.9208 0.7500  4 Te 2.92, 2 Nd 3.21
Te 0.5725 0.4275 0.2500  4 Se 2.92
Te 0.4275 0.5725 0.7500  4 Se 2.92

Computed properties:
The distance to the lowest polymorph of the same formula is 0.00 kcal/mol of atoms. For the calculated volume, the calculation gives 219.92 Å³/cell. As for the total energy: -4.9257 eV per atom. The value obtained for the total magnetization is 0.0 μB/f.u.

=====

Computed, not measured: a geometry-optimized NdTe2Se structure at the PBE level of DFT.

a = 4.2998 Å, b = 4.3005 Å, c = 13.1864 Å
α = 90.00°, β = 80.62°, γ = 90.00°
Last column: nearest neighbours and their distance in Å.
Fractional positions:
Nd 0.8211 0.2500 0.3579  5 Se 3.01-3.12
Nd 0.1789 0.7500 0.6421  5 Se 3.01-3.12
Se 0.2946 0.7500 0.4108  5 Nd 3.01-3.12
Se 0.7054 0.2500 0.5892  5 Nd 3.01-3.12
Te 0.4233 0.2500 0.1533  4 Te 3.04
Te 0.9233 0.7500 0.1534  4 Te 3.04
Te 0.0767 0.2500 0.8466  4 Te 3.04
Te 0.5767 0.7500 0.8467  4 Te 3.04

Computed properties:
For the calculated volume, the calculation gives 240.57 Å³/cell. As for the total energy: -4.7783 eV per atom. The value obtained for the total magnetization is 0.0 μB/f.u.

=====

Computed, not measured: a geometry-optimized NdTeSe2 structure at the PBE level of DFT.

a = 13.6298 Å, b = 13.6298 Å, c = 4.1080 Å
α = 90.00°, β = 90.00°, γ = 162.67°
Last column: nearest neighbours and their distance in Å.
Fractional positions:
Nd 0.8379 0.1621 0.2500  4 Se 3.09, 4 Te 3.16
Nd 0.1621 0.8379 0.7500  4 Se 3.09, 4 Te 3.16
Se 0.4233 0.5767 0.2500  4 Se 2.90, 2 Nd 3.09
Se 0.0767 0.9233 0.2500  4 Se 2.90, 2 Nd 3.09
Se 0.9233 0.0767 0.7500  4 Se 2.90, 2 Nd 3.09
Se 0.5767 0.4233 0.7500  4 Se 2.90, 2 Nd 3.09
Te 0.7085 0.2915 0.2500  5 Nd 3.16-3.49
Te 0.2915 0.7085 0.7500  5 Nd 3.16-3.49

Computed properties:
The distance to the lowest polymorph of the same formula is 4.89 kcal/mol of atoms. For the calculated volume, the calculation gives 227.38 Å³/cell. As for the total energy: -4.7134 eV per atom. The value obtained for the total magnetization is 0.0 μB/f.u.

=====

Computed, not measured: a geometry-optimized NdUTe4Se2 structure at the PBE level of DFT.

a = 4.3112 Å, b = 12.8695 Å, c = 12.8695 Å
α = 19.27°, β = 90.00°, γ = 90.00°
Last column: nearest neighbours and their distance in Å.
Fractional positions:
Nd 0.0000 0.8225 0.8225  5 Se 3.05-3.14, 4 Te 3.35-3.36
Se 0.5000 0.2920 0.2920  1 U 2.92, 4 Nd 3.14
Se 0.0000 0.7023 0.7023  1 Nd 3.05, 4 U 3.11
Te 0.0000 0.0793 0.0793  4 Te 3.05, 2 U 3.28
Te 0.0000 0.4236 0.4236  4 Te 3.05, 2 Nd 3.35
Te 0.5000 0.5794 0.5794  4 Te 3.05, 2 U 3.28
Te 0.5000 0.9238 0.9238  4 Te 3.05, 2 Nd 3.36
U 0.5000 0.1770 0.1770  5 Se 2.92-3.11

Computed properties:
For the calculated volume, the calculation gives 235.59 Å³/cell. As for the total energy: -5.3563 eV per atom. The value obtained for the total magnetization is 2.5 μB/f.u.

=====

Computed, not measured: a geometry-optimized NdTm2Se3 structure at the PBE level of DFT.

a = 4.0500 Å, b = 4.0500 Å, c = 10.1517 Å
α = 90.00°, β = 90.00°, γ = 120.00°
Last column: nearest neighbours and their distance in Å.
Fractional positions:
Nd 0.0000 0.0000 0.5000  6 Se 2.99
Se 0.0000 0.0000 0.0000  6 Tm 2.86
Se 0.6667 0.3333 0.3163  3 Tm 2.81, 3 Nd 2.99
Se 0.3333 0.6667 0.6837  3 Tm 2.81, 3 Nd 2.99
Tm 0.3333 0.6667 0.1626  6 Se 2.81-2.86
Tm 0.6667 0.3333 0.8374  6 Se 2.81-2.86

Computed properties:
For the calculated volume, the calculation gives 144.20 Å³/cell. As for the total energy: -5.7523 eV per atom. The value obtained for the total magnetization is 0.0 μB/f.u.

=====

> Which value of calculated volume does entry 10 give?

227.38 Å³/cell

=====

> Look up the calculated volume of the fourth one.

323.64 Å³/cell

=====

> Which value of calculated volume does entry 8 give?

219.92 Å³/cell

=====

> Which formula does entry 12 have?

NdTm2Se3